#w
## CaHIr3 (PBE-GGA)

Data for a geometry-optimized CaHIr3 structure.

```
data_CaHIr3
_cell_length_a 4.0826
_cell_length_b 4.0826
_cell_length_c 4.0826
_cell_angle_alpha 90.00
_cell_angle_beta 90.00
_cell_angle_gamma 90.00
_space_group_name_H-M_alt 'P 1'
_space_group_IT_number 1
_space_group_name_Hall 'P 1'
loop_
_atom_site_label
_atom_site_fract_x
_atom_site_fract_y
_atom_site_fract_z
_atom_site_occupancy
Ir1 0.0000 0.5000 0.0000 1
H1 0.0000 0.0000 0.0000 1
Ir2 0.5000 0.0000 0.0000 1
Ir3 0.0000 0.0000 0.5000 1
Ca1 0.5000 0.5000 0.5000 1
```

Summary:
**Space-group type**: Pm-3m
**Crystal system**: cubic

---

#x
## CaHIr3 (PBE-GGA)

Data for a geometry-optimized CaHIr3 structure.

```
data_CaHIr3
_cell_length_a 4.9073
_cell_length_b 4.9073
_cell_length_c 4.9073
_cell_angle_alpha 90.00
_cell_angle_beta 90.00
_cell_angle_gamma 90.00
_space_group_name_H-M_alt 'P 1'
_space_group_IT_number 1
_space_group_name_Hall 'P 1'
loop_
_atom_site_label
_atom_site_fract_x
_atom_site_fract_y
_atom_site_fract_z
_atom_site_occupancy
H1 0.5000 0.5000 0.5000 1
Ir1 0.5000 0.0000 0.0000 1
Ir2 0.0000 0.0000 0.5000 1
Ir3 0.0000 0.5000 0.0000 1
Ca1 0.0000 0.0000 0.0000 1
```

Summary:
**Space-group type**: Pm-3m
**Crystal system**: cubic

---

Most stable structure among those shown: #w. Next: +2938 meV per atom.